(1)
This record from Alexandria via LeMat-Bulk describes a relaxed MnMoOs2 crystal. The functional is PBE.

* density: 15.61 g/cm³

Unit cell a=4.6369 b=4.6369 c=4.7456 alpha=80.41 beta=80.41 gamma=34.24
Closest atoms and distances in Å follow each position.
Positions (direct):
Mn 0.2500 0.2500 0.2500  6 Os 2.64-2.68, 2 Mn 2.73, 4 Mo 2.74
Mo 0.7500 0.7500 0.7500  6 Os 2.70-2.76, 2 Mo 2.73, 4 Mn 2.74
Os 0.9947 0.9947 0.0174  6 Os 2.61-2.87, 3 Mn 2.64-2.68, 3 Mo 2.70-2.76
Os 0.5053 0.5053 0.4826  6 Os 2.61-2.87, 3 Mn 2.64-2.68, 3 Mo 2.70-2.76

(2)
This record from Alexandria via LeMat-Bulk describes a relaxed MnMoOs2 crystal. The functional is PBE.

* density: 15.61 g/cm³

Unit cell a=2.7298 b=3.7808 c=5.4759 alpha=90.00 beta=90.00 gamma=90.00
Closest atoms and distances in Å follow each position.
Positions (direct):
Mn 0.5000 0.5000 0.2500  8 Os 2.66, 2 Mn 2.73, 2 Mo 2.74
Mo 0.5000 0.5000 0.7500  2 Mo 2.73, 2 Mn 2.74, 8 Os 2.75
Os 0.0000 0.0000 0.0156  3 Os 2.57-2.73, 4 Mn 2.66, 4 Mo 2.75
Os 0.0000 0.0000 0.4844  3 Os 2.57-2.73, 4 Mn 2.66, 4 Mo 2.75

(3)
This record from Alexandria via LeMat-Bulk describes a relaxed MnMoOs2 crystal. The functional is PBE.

* density: 15.85 g/cm³

Unit cell a=2.7199 b=2.7199 c=7.5231 alpha=90.00 beta=90.00 gamma=90.00
Closest atoms and distances in Å follow each position.
Positions (direct):
Mn 0.5000 0.5000 0.2500  8 Os 2.58, 4 Mn 2.72
Mo 0.5000 0.5000 0.7500  4 Mo 2.72, 8 Os 2.81
Os 0.0000 0.0000 0.0216  4 Mn 2.58, 4 Os 2.72, 4 Mo 2.81
Os 0.0000 0.0000 0.4784  4 Mn 2.58, 4 Os 2.72, 4 Mo 2.81

(4)
This record from Alexandria via LeMat-Bulk describes a relaxed MnMoOs2 crystal. The functional is PBE.

* density: 15.51 g/cm³

Unit cell a=4.6602 b=4.6602 c=2.7598 alpha=90.00 beta=90.00 gamma=108.40
Closest atoms and distances in Å follow each position.
Positions (direct):
Mn 0.5000 0.0000 0.5000  8 Os 2.71, 2 Mo 2.73, 2 Mn 2.76
Mo 0.0000 0.5000 0.5000  8 Os 2.71, 2 Mn 2.73, 2 Mo 2.76
Os 0.0000 0.0000 0.0000  4 Mn 2.71, 4 Mo 2.71, 4 Os 2.73-2.76
Os 0.5000 0.5000 0.0000  4 Mo 2.71, 4 Mn 2.71, 4 Os 2.73-2.76

Which structure is the least stable? The one labeled (4).

(1)
This record from Alexandria via LeMat-Bulk describes a relaxed MnMoOs2 crystal. The functional is PBE.

* density: 15.13 g/cm³

Unit cell a=2.6974 b=2.6974 c=8.6899 alpha=90.00 beta=90.00 gamma=112.76
Closest atoms and distances in Å follow each position.
Positions (direct):
Mn 0.5000 0.5000 0.2500  4 Os 2.58, 4 Mn 2.70
Mo 0.5000 0.5000 0.7500  4 Os 2.70, 6 Mo 2.70-2.99
Os 0.0000 0.0000 0.0082  2 Mn 2.58, 2 Mo 2.70, 4 Os 2.70
Os 0.0000 0.0000 0.4918  2 Mn 2.58, 2 Mo 2.70, 4 Os 2.70

(2)
This record from Alexandria via LeMat-Bulk describes a relaxed MnMoOs2 crystal. The functional is PBE.

* density: 15.56 g/cm³

Unit cell a=8.9919 b=8.9919 c=8.9919 alpha=17.39 beta=17.39 gamma=17.39
Closest atoms and distances in Å follow each position.
Positions (direct):
Mn 0.5027 0.5027 0.5027  3 Os 2.56, 6 Mn 2.72, 3 Mo 2.74
Mo 0.7515 0.7515 0.7515  6 Mo 2.72, 3 Mn 2.74, 3 Os 2.75
Os 0.0001 0.0001 0.0001  9 Os 2.72-2.81, 3 Mo 2.75
Os 0.2456 0.2456 0.2456  3 Mn 2.56, 9 Os 2.72-2.81

(3)
This record from Alexandria via LeMat-Bulk describes a relaxed MnMoOs2 crystal. The functional is PBE.

* density: 15.11 g/cm³

Unit cell a=4.3548 b=4.3548 c=4.3548 alpha=60.00 beta=60.00 gamma=60.00
Closest atoms and distances in Å follow each position.
Positions (direct):
Mo 0.5000 0.5000 0.5000  8 Os 2.67
Mn 0.0000 0.0000 0.0000  8 Os 2.67
Os 0.2500 0.2500 0.2500  4 Mn 2.67, 4 Mo 2.67
Os 0.7500 0.7500 0.7500  4 Mn 2.67, 4 Mo 2.67

(4)
This record from Alexandria via LeMat-Bulk describes a relaxed MnMoOs2 crystal. The functional is PBE.

* density: 15.72 g/cm³

Unit cell a=2.7106 b=2.7106 c=7.6400 alpha=90.00 beta=90.00 gamma=90.00
Closest atoms and distances in Å follow each position.
Positions (direct):
Mn 0.0000 0.0000 0.4901  4 Os 2.59, 4 Mo 2.71, 4 Mn 2.71
Mo 0.5000 0.5000 0.7399  4 Mn 2.71, 4 Mo 2.71, 4 Os 2.81
Os 0.0000 0.0000 0.0088  8 Os 2.71-2.72, 4 Mo 2.81
Os 0.5000 0.5000 0.2612  4 Mn 2.59, 8 Os 2.71-2.72

Which structure is the least stable? The one labeled (1).

(1)
This record from Alexandria via LeMat-Bulk describes a relaxed MnMoOs2 crystal. The functional is PBE.

* density: 15.61 g/cm³

Unit cell a=4.7112 b=4.7112 c=4.7112 alpha=132.06 beta=132.06 gamma=70.14
Closest atoms and distances in Å follow each position.
Positions (direct):
Mn 0.5000 0.5000 0.0000  8 Os 2.71-2.72, 4 Mo 2.72
Mo 0.7500 0.2500 0.5000  8 Os 2.71-2.72, 4 Mn 2.72
Os 0.0000 0.0000 0.0000  4 Mn 2.71, 4 Mo 2.72, 4 Os 2.72
Os 0.2500 0.7500 0.5000  4 Mo 2.71, 4 Os 2.72, 4 Mn 2.72

(2)
This record from Alexandria via LeMat-Bulk describes a relaxed MnMoOs2 crystal. The functional is PBE.

* density: 15.28 g/cm³

Unit cell a=3.0800 b=3.0800 c=6.0852 alpha=90.00 beta=90.00 gamma=90.00
Closest atoms and distances in Å follow each position.
Positions (direct):
Mn 0.5000 0.5000 0.2500  8 Os 2.60
Mo 0.5000 0.5000 0.7500  8 Os 2.71
Os 0.0000 0.0000 0.0156  4 Mn 2.60, 4 Mo 2.71, 1 Os 2.85
Os 0.0000 0.0000 0.4844  4 Mn 2.60, 4 Mo 2.71, 1 Os 2.85

Which structure is the least stable? The one labeled (2).

(1)
This record from Alexandria via LeMat-Bulk describes a relaxed Mn2MoOs2 crystal. The functional is PBE.

* density: 14.17 g/cm³

Unit cell a=7.1862 b=7.1862 c=2.6600 alpha=90.00 beta=90.00 gamma=90.00
Closest atoms and distances in Å follow each position.
Positions (direct):
Mo 0.0000 0.0000 0.0000  2 Mo 2.66, 4 Os 2.83
Mo 0.5000 0.5000 0.0000  2 Mo 2.66, 4 Os 2.83
Mn 0.1676 0.6676 0.5000  6 Os 2.46-2.52, 2 Mn 2.66
Mn 0.6676 0.8324 0.5000  6 Os 2.46-2.52, 2 Mn 2.66
Mn 0.8324 0.3324 0.5000  6 Os 2.46-2.52, 2 Mn 2.66
Mn 0.3324 0.1676 0.5000  6 Os 2.46-2.52, 2 Mn 2.66
Os 0.3718 0.8718 0.0000  6 Mn 2.46-2.52, 3 Os 2.61-2.66
Os 0.8718 0.6282 0.0000  6 Mn 2.46-2.52, 3 Os 2.61-2.66
Os 0.6282 0.1282 0.0000  6 Mn 2.46-2.52, 3 Os 2.61-2.66
Os 0.1282 0.3718 0.0000  6 Mn 2.46-2.52, 3 Os 2.61-2.66

(2)
This record from Alexandria via LeMat-Bulk describes a relaxed Mn2MoOs2 crystal. The functional is PBE.

* density: 14.43 g/cm³

Unit cell a=7.0478 b=7.0478 c=2.7162 alpha=90.00 beta=90.00 gamma=90.00
Closest atoms and distances in Å follow each position.
Positions (direct):
Mo 0.0000 0.0000 0.0000  2 Mo 2.72, 4 Mn 2.80, 8 Os 2.94
Mo 0.5000 0.5000 0.0000  2 Mo 2.72, 4 Mn 2.80, 8 Os 2.94
Mn 0.3784 0.8784 0.0000  1 Mn 2.42, 6 Os 2.46-2.50
Mn 0.8784 0.6216 0.0000  1 Mn 2.42, 6 Os 2.46-2.50
Mn 0.6216 0.1216 0.0000  1 Mn 2.42, 6 Os 2.46-2.50
Mn 0.1216 0.3784 0.0000  1 Mn 2.42, 6 Os 2.46-2.50
Os 0.1726 0.6726 0.5000  6 Mn 2.46-2.50, 2 Os 2.72
Os 0.6726 0.8274 0.5000  6 Mn 2.46-2.50, 2 Os 2.72
Os 0.8274 0.3274 0.5000  6 Mn 2.46-2.50, 2 Os 2.72
Os 0.3274 0.1726 0.5000  6 Mn 2.46-2.50, 2 Os 2.72

Which structure is the least stable? The one labeled (1).